[1]
Material: TaInSb2
Method: DFT, PBE
State: optimized geometry

Lattice parameters (Å, degrees): 4.968 3.775 5.475 69.75 90.00 90.00
Fractional positions:
In (0.500, 0.718, 0.688)
Sb (0.500, 0.443, 0.240)
Sb (0.000, 0.028, 0.070)
Ta (0.000, 0.311, 0.502)

- SG: No. 6
- E_form (uncorrected): 229 meV/atom
- Energy: -5.48 eV per atom


[2]
Material: Ta2InSb
Method: DFT, PBE
State: optimized geometry

Lattice parameters (Å, degrees): 3.083 3.083 9.090 90.00 90.00 109.99
Fractional positions:
Ta (0.000, 0.000, 0.993)
Ta (0.000, 0.000, 0.507)
In (0.500, 0.500, 0.250)
Sb (0.500, 0.500, 0.750)

- SG: No. 65
- Relative energy among the computed polymorphs: 0.226 eV/atom
- E_form (uncorrected): 347 meV/atom
- Energy: -7.29 eV per atom


[3]
Material: Ta2InSb
Method: DFT, PBE
State: optimized geometry

Lattice parameters (Å, degrees): 5.504 5.504 5.504 142.58 126.07 67.48
Fractional positions:
Sb (0.750, 0.250, 0.500)
In (0.250, 0.750, 0.500)
Ta (0.994, 0.994, 0.000)
Ta (0.506, 0.506, 0.000)

- SG: No. 71
- Relative energy among the computed polymorphs: 0.171 eV/atom
- E_form (uncorrected): 292 meV/atom
- Energy: -7.35 eV per atom


[4]
Material: Ta2InSb
Method: DFT, PBE
State: optimized geometry

Lattice parameters (Å, degrees): 3.622 3.622 6.198 90.00 90.00 90.00
Fractional positions:
Sb (0.500, 0.500, 0.768)
Ta (0.500, 0.500, 0.239)
Ta (0.000, 0.000, 0.009)
In (0.000, 0.000, 0.484)

- SG: No. 99
- Relative energy among the computed polymorphs: 0.000 eV/atom
- E_form (uncorrected): 121 meV/atom
- Energy: -7.52 eV per atom


[5]
Material: TaInSb2
Method: DFT, PBE
State: optimized geometry

Lattice parameters (Å, degrees): 6.664 6.664 7.932 65.16 65.16 90.00
Fractional positions:
Ta (0.000, 0.000, 0.000)
Ta (0.750, 0.250, 0.500)
Sb (0.085, 0.625, 0.250)
Sb (0.875, 0.915, 0.750)
Sb (0.665, 0.125, 0.250)
Sb (0.375, 0.335, 0.750)
In (0.250, 0.750, 0.500)
In (0.500, 0.500, 0.000)

- SG: No. 122
- E_form (uncorrected): 493 meV/atom
- Energy: -5.22 eV per atom


[6]
Material: Ta2InSb
Method: DFT, PBE
State: optimized geometry

Lattice parameters (Å, degrees): 4.748 4.748 3.576 90.00 90.00 98.58
Fractional positions:
Ta (0.000, 0.000, 0.000)
Ta (0.500, 0.500, 0.000)
Sb (0.000, 0.500, 0.500)
In (0.500, 0.000, 0.500)

- SG: No. 65
- Relative energy among the computed polymorphs: 0.255 eV/atom
- E_form (uncorrected): 376 meV/atom
- Energy: -7.27 eV per atom